Compound: K2PmTiSe4
Source: Alexandria via LeMat-Bulk
Functional: GGA-PBE
Structure: optimized geometry

Cell and atoms, written as POSCAR:
```
K2PmTiSe4
1.0
7.0977 0.0000 0.0000
0.0000 4.0997 0.0000
-2.3613 0.0000 7.6751
K Pm Ti Se
2 1 1 4
direct
0.0000 0.0000 0.0000
0.5000 0.5000 0.0000
0.0000 0.5000 0.5000
0.5000 0.0000 0.5000
0.2593 0.0000 0.7053
0.2912 0.5000 0.3065
0.7088 0.5000 0.6935
0.7407 0.0000 0.2947
```

Theoretical density   4.36 g/cm³
Space group   No. 10
Calculated total energy   -5.014 eV per atom
V   223.3 Å³/cell
Formation energy (no corrections)   -1.4168 eV per atom
DOS(E_F)   0.59 states/eV/atom
Total magnetization   1.0 μB/f.u.

---

Compound: KPmTlSe3
Source: Alexandria via LeMat-Bulk
Functional: GGA-PBE
Structure: optimized geometry

Cell and atoms, written as POSCAR:
```
KPmTlSe3
1.0
9.1217 0.0000 0.0000
0.0000 4.2630 0.0000
-2.1174 0.0000 10.1373
K Pm Tl Se
2 2 2 6
direct
0.1731 0.2500 0.1995
0.8269 0.7500 0.8005
0.3561 0.7500 0.8501
0.6439 0.2500 0.1499
0.1352 0.2500 0.5649
0.8648 0.7500 0.4351
0.1228 0.2500 0.8343
0.3320 0.7500 0.5538
0.4228 0.7500 0.1384
0.5772 0.2500 0.8616
0.6680 0.2500 0.4462
0.8772 0.7500 0.1657
```

Theoretical density   5.27 g/cm³
Space group   No. 11
Calculated total energy   -4.269 eV per atom
V   394.2 Å³/cell
Formation energy (no corrections)   -1.1581 eV per atom
DOS(E_F)   0.46 states/eV/atom
Total magnetization   0.0 μB/f.u.

---

Compound: K4Pm3TmSe8
Source: Alexandria via LeMat-Bulk
Functional: GGA-PBE
Structure: optimized geometry

Cell and atoms, written as POSCAR:
```
K4Pm3TmSe8
1.0
4.2820 2.4722 7.6961
-4.2820 2.4722 7.6961
0.0000 -4.9444 7.6961
K Pm Tm Se
4 3 1 8
direct
0.0000 0.0000 0.0000
0.0000 0.5000 0.5000
0.5000 0.0000 0.5000
0.5000 0.5000 0.0000
0.0000 0.0000 0.5000
0.0000 0.5000 0.0000
0.5000 0.0000 0.0000
0.5000 0.5000 0.5000
0.2370 0.2370 0.2370
0.2440 0.7314 0.7314
0.2686 0.2686 0.7560
0.2686 0.7560 0.2686
0.7314 0.2440 0.7314
0.7314 0.7314 0.2440
0.7560 0.2686 0.2686
0.7630 0.7630 0.7630
```

Theoretical density   4.73 g/cm³
Space group   No. 166
Calculated total energy   -4.941 eV per atom
V   488.8 Å³/cell
Formation energy (no corrections)   -1.7541 eV per atom
DOS(E_F)   0.00 states/eV/atom
Total magnetization   0.0 μB/f.u.

---

Compound: K2PmTmSe4
Source: Alexandria via LeMat-Bulk
Functional: GGA-PBE
Structure: optimized geometry

Cell and atoms, written as POSCAR:
```
K2PmTmSe4
1.0
7.3506 0.0000 0.0000
0.0000 4.2430 0.0000
-2.4501 0.0000 7.6885
K Pm Tm Se
2 1 1 4
direct
0.0000 0.0000 0.0000
0.5000 0.5000 0.0000
0.0000 0.5000 0.5000
0.5000 0.0000 0.5000
0.2445 0.0000 0.7080
0.2734 0.5000 0.2958
0.7266 0.5000 0.7042
0.7555 0.0000 0.2920
```

Theoretical density   4.90 g/cm³
Space group   No. 10
Calculated total energy   -4.920 eV per atom
V   239.8 Å³/cell
Formation energy (no corrections)   -1.7507 eV per atom
DOS(E_F)   0.00 states/eV/atom
Total magnetization   0.0 μB/f.u.

---

Compound: K4PmTm3Se8
Source: Alexandria via LeMat-Bulk
Functional: GGA-PBE
Structure: optimized geometry

Cell and atoms, written as POSCAR:
```
K4PmTm3Se8
1.0
4.2034 2.4269 7.6809
-4.2034 2.4269 7.6809
0.0000 -4.8537 7.6809
K Pm Tm Se
4 1 3 8
direct
0.0000 0.0000 0.0000
0.0000 0.5000 0.5000
0.5000 0.0000 0.5000
0.5000 0.5000 0.0000
0.5000 0.5000 0.5000
0.0000 0.0000 0.5000
0.0000 0.5000 0.0000
0.5000 0.0000 0.0000
0.2268 0.7392 0.7392
0.2339 0.2339 0.2339
0.2608 0.2608 0.7732
0.2608 0.7732 0.2608
0.7392 0.2268 0.7392
0.7392 0.7392 0.2268
0.7661 0.7661 0.7661
0.7732 0.2608 0.2608
```

Theoretical density   5.09 g/cm³
Space group   No. 166
Calculated total energy   -4.902 eV per atom
V   470.1 Å³/cell
Formation energy (no corrections)   -1.7500 eV per atom
DOS(E_F)   0.00 states/eV/atom
Total magnetization   0.0 μB/f.u.

---

Compound: K4Pm3USe8
Source: Alexandria via LeMat-Bulk
Functional: GGA-PBE
Structure: optimized geometry

Cell and atoms, written as POSCAR:
```
K4Pm3USe8
1.0
4.3033 2.4845 7.7031
-4.3033 2.4845 7.7031
0.0000 -4.9690 7.7031
K Pm U Se
4 3 1 8
direct
0.0000 0.0000 0.0000
0.0000 0.5000 0.5000
0.5000 0.0000 0.5000
0.5000 0.5000 0.0000
0.0000 0.0000 0.5000
0.0000 0.5000 0.0000
0.5000 0.0000 0.0000
0.5000 0.5000 0.5000
0.2370 0.2370 0.2370
0.2404 0.7342 0.7342
0.2658 0.2658 0.7596
0.2658 0.7596 0.2658
0.7342 0.2404 0.7342
0.7342 0.7342 0.2404
0.7596 0.2658 0.2658
0.7630 0.7630 0.7630
```

Theoretical density   4.91 g/cm³
Space group   No. 166
Calculated total energy   -5.230 eV per atom
V   494.1 Å³/cell
Formation energy (no corrections)   -1.6174 eV per atom
DOS(E_F)   0.58 states/eV/atom
Total magnetization   3.0 μB/f.u.

---

Compound: K2Pm2USe6
Source: Alexandria via LeMat-Bulk
Functional: GGA-PBE
Structure: optimized geometry

Cell and atoms, written as POSCAR:
```
K2Pm2USe6
1.0
3.6969 -6.3554 0.0000
3.6969 6.3554 0.0000
-2.4956 0.0000 7.8296
K Pm U Se
2 2 1 6
direct
0.1696 0.8304 0.0000
0.8304 0.1696 0.0000
0.3336 0.6664 0.5000
0.6664 0.3336 0.5000
0.0000 0.0000 0.5000
0.0679 0.3917 0.7030
0.2519 0.2519 0.2980
0.3917 0.0679 0.7030
0.6083 0.9321 0.2970
0.7481 0.7481 0.7020
0.9321 0.6083 0.2970
```

Theoretical density   4.87 g/cm³
Space group   No. 12
Calculated total energy   -5.577 eV per atom
V   367.9 Å³/cell
Formation energy (no corrections)   -1.5873 eV per atom
DOS(E_F)   0.63 states/eV/atom
Total magnetization   2.0 μB/f.u.

---

Compound: K3Pm3USe8
Source: Alexandria via LeMat-Bulk
Functional: GGA-PBE
Structure: optimized geometry

Cell and atoms, written as POSCAR:
```
K3Pm3USe8
1.0
4.2754 2.4684 7.8063
-4.2754 2.4684 7.8063
0.0000 -4.9368 7.8063
K Pm U Se
3 3 1 8
direct
0.0000 0.5000 0.5000
0.5000 0.0000 0.5000
0.5000 0.5000 0.0000
0.0000 0.0000 0.5000
0.0000 0.5000 0.0000
0.5000 0.0000 0.0000
0.5000 0.5000 0.5000
0.2365 0.2365 0.2365
0.2444 0.7284 0.7284
0.2716 0.2716 0.7556
0.2716 0.7556 0.2716
0.7284 0.2444 0.7284
0.7284 0.7284 0.2444
0.7556 0.2716 0.2716
0.7635 0.7635 0.7635
```

Theoretical density   4.78 g/cm³
Space group   No. 166
Calculated total energy   -5.415 eV per atom
V   494.3 Å³/cell
Formation energy (no corrections)   -1.6348 eV per atom
DOS(E_F)   0.38 states/eV/atom
Total magnetization   2.0 μB/f.u.

---

Compound: K4PmU3Se8
Source: Alexandria via LeMat-Bulk
Functional: GGA-PBE
Structure: optimized geometry

Cell and atoms, written as POSCAR:
```
K4PmU3Se8
1.0
4.2428 2.4496 7.7422
-4.2428 2.4496 7.7422
0.0000 -4.8991 7.7422
K Pm U Se
4 1 3 8
direct
0.0000 0.0000 0.0000
0.0000 0.5000 0.5000
0.5000 0.0000 0.5000
0.5000 0.5000 0.0000
0.5000 0.5000 0.5000
0.0000 0.0000 0.5000
0.0000 0.5000 0.0000
0.5000 0.0000 0.0000
0.2324 0.7387 0.7387
0.2357 0.2357 0.2357
0.2613 0.2613 0.7676
0.2613 0.7676 0.2613
0.7387 0.2324 0.7387
0.7387 0.7387 0.2324
0.7643 0.7643 0.7643
0.7676 0.2613 0.2613
```

Theoretical density   5.67 g/cm³
Space group   No. 166
Calculated total energy   -5.786 eV per atom
V   482.8 Å³/cell
Formation energy (no corrections)   -1.3559 eV per atom
DOS(E_F)   1.11 states/eV/atom
Total magnetization   9.0 μB/f.u.

---

Compound: K3Pm2USe6
Source: Alexandria via LeMat-Bulk
Functional: GGA-PBE
Structure: optimized geometry

Cell and atoms, written as POSCAR:
```
K3Pm2USe6
1.0
3.7228 -6.4477 0.0000
3.7228 6.4477 0.0000
-2.4818 0.0000 7.7160
K Pm U Se
3 2 1 6
direct
0.0000 0.0000 0.0000
0.3318 0.6682 0.0000
0.6682 0.3318 0.0000
0.1665 0.8335 0.5000
0.8335 0.1665 0.5000
0.5000 0.5000 0.5000
0.1004 0.4301 0.2902
0.2405 0.2405 0.7103
0.4301 0.1004 0.2902
0.5699 0.8996 0.7098
0.7595 0.7595 0.2897
0.8996 0.5699 0.7098
```

Theoretical density   5.02 g/cm³
Space group   No. 12
Calculated total energy   -5.319 eV per atom
V   370.4 Å³/cell
Formation energy (no corrections)   -1.5698 eV per atom
DOS(E_F)   0.80 states/eV/atom
Total magnetization   3.0 μB/f.u.